# ZrTaOs2 (PBE, relaxed)
data_ZrTaOs2
_space_group_name_H-M_alt 'P 1'
_space_group_IT_number 1
_cell_length_a 3.242
_cell_length_b 3.242
_cell_length_c 6.528
_cell_angle_alpha 90.00
_cell_angle_beta 90.00
_cell_angle_gamma 90.00
loop_
_space_group_symop_operation_xyz
'x,y,z'
loop_
_atom_site_label
_atom_site_fract_x
_atom_site_fract_y
_atom_site_fract_z
_atom_site_occupancy
Zr1 0.000 0.000 0.000 1
Ta1 0.500 0.500 0.712 1
Os1 0.000 0.000 0.499 1
Os2 0.500 0.500 0.228 1
# - ΔH_f (0 K): 0.082 eV per formula unit

# ZrTaOs2 (PBE, relaxed)
data_ZrTaOs2
_space_group_name_H-M_alt 'P 1'
_space_group_IT_number 1
_cell_length_a 5.835
_cell_length_b 5.835
_cell_length_c 5.835
_cell_angle_alpha 103.73
_cell_angle_beta 103.73
_cell_angle_gamma 121.68
loop_
_space_group_symop_operation_xyz
'x,y,z'
loop_
_atom_site_label
_atom_site_fract_x
_atom_site_fract_y
_atom_site_fract_z
_atom_site_occupancy
Zr1 0.000 0.000 0.000 1
Zr2 0.750 0.250 0.500 1
Ta1 0.250 0.750 0.500 1
Ta2 0.500 0.500 0.000 1
Os1 0.144 0.625 0.019 1
Os2 0.375 0.394 0.519 1
Os3 0.606 0.125 0.981 1
Os4 0.875 0.856 0.481 1
# - ΔH_f (0 K): 1.543 eV per formula unit

# ZrTaOs2 (PBE, relaxed)
data_ZrTaOs2
_space_group_name_H-M_alt 'P 1'
_space_group_IT_number 1
_cell_length_a 4.550
_cell_length_b 4.550
_cell_length_c 4.550
_cell_angle_alpha 60.00
_cell_angle_beta 60.00
_cell_angle_gamma 60.00
loop_
_space_group_symop_operation_xyz
'x,y,z'
loop_
_atom_site_label
_atom_site_fract_x
_atom_site_fract_y
_atom_site_fract_z
_atom_site_occupancy
Zr1 0.000 0.000 0.000 1
Ta1 0.250 0.250 0.250 1
Os1 0.500 0.500 0.500 1
Os2 0.750 0.750 0.750 1
# - ΔH_f (0 K): 0.027 eV per formula unit

# ZrTaOs2 (PBE, relaxed)
data_ZrTaOs2
_space_group_name_H-M_alt 'P 1'
_space_group_IT_number 1
_cell_length_a 3.243
_cell_length_b 4.369
_cell_length_c 4.771
_cell_angle_alpha 90.00
_cell_angle_beta 90.00
_cell_angle_gamma 90.00
loop_
_space_group_symop_operation_xyz
'x,y,z'
loop_
_atom_site_label
_atom_site_fract_x
_atom_site_fract_y
_atom_site_fract_z
_atom_site_occupancy
Zr1 0.000 0.000 0.000 1
Ta1 0.500 0.000 0.500 1
Os1 0.000 0.500 0.500 1
Os2 0.500 0.500 0.000 1
# - ΔH_f (0 K): -0.151 eV per formula unit

# ZrTaOs2 (PBE, relaxed)
data_ZrTaOs2
_space_group_name_H-M_alt 'P 1'
_space_group_IT_number 1
_cell_length_a 5.250
_cell_length_b 5.250
_cell_length_c 5.250
_cell_angle_alpha 144.10
_cell_angle_beta 125.85
_cell_angle_gamma 66.69
loop_
_space_group_symop_operation_xyz
'x,y,z'
loop_
_atom_site_label
_atom_site_fract_x
_atom_site_fract_y
_atom_site_fract_z
_atom_site_occupancy
Zr1 0.000 0.000 0.000 1
Ta1 0.500 0.500 0.000 1
Os1 0.259 0.759 0.500 1
Os2 0.741 0.241 0.500 1
# - ΔH_f (0 K): -0.187 eV per formula unit

# ZrTa2Os (PBE, relaxed)
data_ZrTa2Os
_space_group_name_H-M_alt 'P 1'
_space_group_IT_number 1
_cell_length_a 3.186
_cell_length_b 3.186
_cell_length_c 7.187
_cell_angle_alpha 90.00
_cell_angle_beta 90.00
_cell_angle_gamma 90.00
loop_
_space_group_symop_operation_xyz
'x,y,z'
loop_
_atom_site_label
_atom_site_fract_x
_atom_site_fract_y
_atom_site_fract_z
_atom_site_occupancy
Zr1 0.000 0.000 0.000 1
Ta1 0.500 0.500 0.277 1
Ta2 0.500 0.500 0.723 1
Os1 0.000 0.000 0.500 1
# - ΔH_f (0 K): -0.627 eV per formula unit

Q: Which of these has the lowest ΔH_f (0 K)?
A: ZrTa2Os